1.
Material: Pr6S5Cl
Method: DFT, PBE
State: relaxed

Cell: 7.1371 12.3106 7.1265 Å, 90.00 109.36 90.00°
Closest atoms and distances in Å follow each position.
Space group C2/m (No. 12)
Unique sites:
Pr 0.2371 0.0000 0.2585 (multiplicity 4)  5 S 2.78-2.91, 1 Cl 3.03
Pr 0.2383 0.1744 0.7377 (multiplicity 8)  5 S 2.82-2.92, 1 Cl 3.05
S 0.0000 0.0000 0.5000 (multiplicity 2)  6 Pr 2.78-2.91
S 0.0000 0.1676 0.0000 (multiplicity 4)  6 Pr 2.91-2.92
S 0.0000 0.3389 0.5000 (multiplicity 4)  6 Pr 2.82-2.91
Cl 0.0000 0.5000 0.0000 (multiplicity 2)  6 Pr 3.03-3.05

Values from the calculation:
N(E_F), states/eV/atom: 0.385
Uncorrected energy, eV/atom: -6.189
Crystal system: monoclinic
Volume, Å³ per cell: 590.75

***

2.
Material: Pr4S3Cl
Method: DFT, PBE
State: relaxed

Cell: 4.0810 4.0810 27.7255 Å, 90.00 90.00 120.00°
Closest atoms and distances in Å follow each position.
Space group P6_3/mmc (No. 194)
Unique sites:
Pr 0.0000 0.0000 0.1762 (multiplicity 4)  3 S 2.80, 3 Cl 3.12
Pr 0.3333 0.6667 0.0637 (multiplicity 4)  6 S 2.85-2.94
S 0.0000 0.0000 0.0000 (multiplicity 2)  6 Pr 2.94
S 0.3333 0.6667 0.6214 (multiplicity 4)  6 Pr 2.80-2.85
Cl 0.3333 0.6667 0.2500 (multiplicity 2)  6 Pr 3.12

Values from the calculation:
N(E_F), states/eV/atom: 0.450
Uncorrected energy, eV/atom: -6.031
Crystal system: hexagonal
Volume, Å³ per cell: 399.89

***

3.
Material: Pr3SCl3
Method: DFT, PBE
State: relaxed

Cell: 7.0598 7.0598 30.8439 Å, 90.00 90.00 120.00°
Closest atoms and distances in Å follow each position.
Space group R-3 (No. 148, hexagonal axes)
Unique sites:
Pr 0.0000 0.3446 0.0514 (multiplicity 18)  2 S 2.81, 3 Cl 2.89-2.91
S 0.0000 0.0000 0.3333 (multiplicity 6)  6 Pr 2.81
Cl 0.9999 0.3247 0.8935 (multiplicity 18)  3 Pr 2.89-2.91

Values from the calculation:
N(E_F), states/eV/atom: 0.256
Uncorrected energy, eV/atom: -5.316
Crystal system: trigonal
Volume, Å³ per cell: 1331.32

***

4.
Material: PrSCl
Method: DFT, PBE
State: relaxed

Cell: 6.9162 7.0169 41.5518 Å, 90.00 90.00 90.00°
Closest atoms and distances in Å follow each position.
Space group Pbcm (No. 57)
Unique sites:
Pr 0.1901 0.2033 0.2500 (multiplicity 4)  4 S 2.80-2.81, 2 Cl 2.91
Pr 0.1989 0.2050 0.0838 (multiplicity 8)  4 S 2.80-2.90, 2 Cl 2.82-3.01
Pr 0.2003 0.7305 0.6668 (multiplicity 8)  4 S 2.80-2.88, 3 Cl 2.87-3.11
Pr 0.2104 0.7500 0.0000 (multiplicity 4)  4 S 2.83-2.93, 2 Cl 2.92
S 0.0255 0.0333 0.5418 (multiplicity 8)  4 Pr 2.80-2.93
S 0.0382 0.0071 0.6263 (multiplicity 8)  4 Pr 2.80-2.90
S 0.0390 0.0169 0.7088 (multiplicity 8)  4 Pr 2.80-2.88
Cl 0.4521 0.6186 0.6154 (multiplicity 8)  3 Pr 2.87-3.15
Cl 0.4570 0.0726 0.2006 (multiplicity 8)  3 Pr 2.91-3.11
Cl 0.4675 0.0903 0.0366 (multiplicity 8)  2 Pr 2.82-2.92

Values from the calculation:
N(E_F), states/eV/atom: 0.000
Uncorrected energy, eV/atom: -5.724
Crystal system: orthorhombic
Volume, Å³ per cell: 2016.52

***

5.
Material: PrSCl
Method: DFT, PBE
State: relaxed

Cell: 11.2127 13.6896 8.8124 Å, 90.00 90.00 90.00°
Closest atoms and distances in Å follow each position.
Space group Fdd2 (No. 43)
Unique sites:
Pr 0.0557 0.2297 0.0000 (multiplicity 16)  4 S 2.82-2.89, 3 Cl 2.91-3.01
S 0.0218 0.1286 0.7220 (multiplicity 16)  4 Pr 2.82-2.89
Cl 0.0850 0.1374 0.2945 (multiplicity 16)  3 Pr 2.91-3.01

Values from the calculation:
N(E_F), states/eV/atom: 0.000
Uncorrected energy, eV/atom: -5.758
Crystal system: orthorhombic
Volume, Å³ per cell: 1352.68

***

6.
Material: Pr8S6Cl
Method: DFT, PBE
State: relaxed

Cell: 10.7783 10.7783 4.2179 Å, 90.00 90.00 120.00°
Closest atoms and distances in Å follow each position.
Space group P-3 (No. 147)
Unique sites:
Pr 0.0378 0.3558 0.2437 (multiplicity 6)  4 S 2.79-2.88
Pr 0.3333 0.6667 0.7532 (multiplicity 2)  6 S 2.94
S 0.1393 0.6585 0.2541 (multiplicity 6)  6 Pr 2.79-2.94
Cl 0.0000 0.0000 0.0000 (multiplicity 1)  6 Pr 3.79, 2 Cl 4.22

Values from the calculation:
N(E_F), states/eV/atom: 0.602
Uncorrected energy, eV/atom: -5.903
Crystal system: trigonal
Volume, Å³ per cell: 424.35

***

7.
Material: Pr2SCl2
Method: DFT, PBE
State: relaxed

Cell: 10.0291 8.0996 7.0223 Å, 90.00 91.35 90.00°
Closest atoms and distances in Å follow each position.
Space group P2_1/c (No. 14)
Unique sites:
Pr 0.0068 0.1230 0.2416 (multiplicity 4)  3 S 2.78-2.96, 3 Cl 2.91-3.03
Pr 0.3183 0.1358 0.5994 (multiplicity 4)  2 S 2.77-2.78, 4 Cl 2.86-2.96
S 0.1694 0.1145 0.9262 (multiplicity 4)  5 Pr 2.77-2.96
Cl 0.1768 0.6338 0.9222 (multiplicity 4)  4 Pr 2.87-3.03
Cl 0.4934 0.1259 0.2732 (multiplicity 4)  3 Pr 2.86-2.96

Values from the calculation:
N(E_F), states/eV/atom: 0.346
Uncorrected energy, eV/atom: -5.449
Crystal system: monoclinic
Volume, Å³ per cell: 570.28

***

8.
Material: Pr7S6Cl9
Method: DFT, PBE
State: relaxed

Cell: 24.7564 6.8037 7.0559 Å, 90.00 97.87 90.00°
Closest atoms and distances in Å follow each position.
Space group P2/c (No. 13)
Unique sites:
Pr 0.0000 0.2107 0.2500 (multiplicity 2)  4 S 2.83-2.95, 2 Cl 2.90
Pr 0.1429 0.1981 0.8721 (multiplicity 4)  3 Cl 2.80-3.08, 4 S 2.80-2.92
Pr 0.2839 0.1955 0.3643 (multiplicity 4)  4 S 2.78-2.93, 3 Cl 2.89-3.02
Pr 0.4215 0.2183 0.0074 (multiplicity 4)  2 S 2.78-2.81, 5 Cl 2.87-3.05
S 0.0716 0.0306 0.5725 (multiplicity 4)  4 Pr 2.80-2.95
S 0.2163 0.0485 0.6147 (multiplicity 4)  4 Pr 2.78-2.92
S 0.3596 0.0504 0.6898 (multiplicity 4)  4 Pr 2.78-2.93
Cl 0.0605 0.4617 0.9386 (multiplicity 4)  2 Pr 2.80-2.90
Cl 0.1905 0.4362 0.2272 (multiplicity 4)  3 Pr 2.89-3.08
Cl 0.3207 0.4194 0.0355 (multiplicity 4)  3 Pr 2.88-3.02
Cl 0.4432 0.3916 0.3813 (multiplicity 4)  2 Pr 2.87
Cl 0.5000 0.0513 0.7500 (multiplicity 2)  4 Pr 3.03-3.05

Values from the calculation:
N(E_F), states/eV/atom: 0.000
Uncorrected energy, eV/atom: -5.578
Crystal system: monoclinic
Volume, Å³ per cell: 1177.26

***

For each record above, in turn, the calculated size of the total moment values are 0.000, 0.000, 0.000, 0.000, 0.000, 0.000, 0.000, 0.000 μB per atom.